(1)
6
Lattice="3.685 1.945 1.820 -1.929 -1.092 3.971 0.711 -3.396 -2.940" Properties=species:S:1:pos:R:3 comment="CoPO4, relaxed, DFT PBE+U" dft_energy_ry_per_atom=-0.3252 volume_a3_per_atom=11.55 pbc="T T T"
O 2.134 -2.116 0.990
O 0.564 -2.925 -1.066
O 1.181 0.032 1.536
O 1.055 -0.075 4.241
Co 0.000 0.000 0.000
P -0.170 -2.030 1.963

***

(2)
12
Lattice="3.406 -3.139 -2.699 2.175 3.721 3.188 -2.784 -3.261 3.218" Properties=species:S:1:pos:R:3 comment="CoPO4, relaxed, DFT PBE+U" dft_energy_ry_per_atom=-0.4825 volume_a3_per_atom=9.77 pbc="T T T"
O 1.910 -0.974 0.252
O 0.208 0.188 2.075
O 2.197 -0.683 3.506
O -0.013 0.356 4.401
O -1.099 -1.912 3.281
O 3.673 0.478 1.494
O 1.971 1.641 3.318
O 1.110 -2.950 2.387
Co 1.706 -3.055 0.382
Co 0.000 0.000 0.000
P 2.790 0.291 0.244
P 1.091 0.376 3.325

***

(3)
12
Lattice="-2.300 -2.792 3.029 6.694 -4.200 1.211 2.098 3.912 1.970" Properties=species:S:1:pos:R:3 comment="CoPO4, relaxed, DFT PBE+U" dft_energy_ry_per_atom=-0.4922 volume_a3_per_atom=13.81 pbc="T T T"
Co 3.142 -0.634 2.937
Co 5.711 -3.928 3.701
O -0.162 -0.578 1.031
O 4.606 -0.763 1.851
O -0.556 -0.785 3.918
O 2.076 -2.151 2.742
O 6.568 -2.279 3.858
O 3.850 -0.743 4.673
O 4.047 -3.605 3.083
O 2.031 0.784 3.053
P 1.400 2.023 2.394
P 2.536 -3.499 3.354

***

(4)
20
Lattice="4.607 0.000 0.000 -1.829 6.372 0.000 -0.379 -0.279 7.603" Properties=species:S:1:pos:R:3 comment="CoP2O7, relaxed, DFT PBE+U" dft_energy_ry_per_atom=-0.4913 volume_a3_per_atom=11.16 pbc="T T T"
O 1.014 0.860 7.049
O 1.384 5.233 0.554
O 3.925 1.540 0.880
O 0.254 4.115 2.569
O 2.997 0.092 2.774
O 0.028 1.689 3.399
O -1.527 4.552 6.723
O -0.599 6.001 4.829
O 0.066 3.553 5.200
O 2.333 2.540 2.403
O 2.370 4.403 4.204
O 3.314 0.139 6.075
O 2.145 1.977 5.034
O -0.916 5.953 1.528
P 1.901 0.697 5.812
P 3.512 1.554 2.357
P 0.497 5.396 1.791
P -1.114 4.538 5.246
Co 1.199 3.046 3.801
Co 0.000 0.000 0.000

***

(5)
8
Lattice="4.429 0.000 0.000 0.000 5.827 0.000 0.000 0.000 5.736" Properties=species:S:1:pos:R:3 comment="PaCoPO, relaxed, DFT PBE+U" de_polymorph_mev_per_atom=397 volume_a3_per_atom=18.50 pbc="T T T"
O 0.000 1.143 5.143
O 0.000 4.683 2.275
P 2.214 4.313 5.291
P 2.214 1.514 2.422
Co 0.000 0.898 2.971
Co 0.000 4.929 0.103
Pa 2.214 4.419 2.392
Pa 2.214 1.408 5.260

***

(6)
8
Lattice="3.802 0.000 0.000 0.000 3.802 0.000 0.000 0.000 7.709" Properties=species:S:1:pos:R:3 comment="PaCoPO, relaxed, DFT PBE+U" de_polymorph_mev_per_atom=0 volume_a3_per_atom=13.93 pbc="T T T"
O 1.901 1.901 0.000
O 0.000 0.000 0.000
Co 1.901 1.901 3.854
Co 0.000 0.000 3.854
Pa 1.901 0.000 6.288
Pa 0.000 1.901 1.421
P 1.901 0.000 2.665
P 0.000 1.901 5.043